No. 1
VASP calculation (PBE-GGA) on an optimized crystal structure of Nd6Ho12Mg.

Output
**DOS(E_F)**: 29.9 states/eV/f.u.
**VASP energy**: -4.35 eV/atom
**Spin magnetization**: 0.0000 μB per atom

CIF file:
```
data_Nd6Ho12Mg
_chemical_formula_sum 'Nd18 Ho36 Mg3'
_cell_length_a 13.0454
_cell_length_b 13.0454
_cell_length_c 12.9266
_cell_angle_alpha 90.00
_cell_angle_beta 90.00
_cell_angle_gamma 120.00
_symmetry_space_group_name_H-M 'R -3 m'
_symmetry_Int_Tables_number 166
_symmetry_space_group_name_Hall '-R 3 2"'
loop_
_atom_site_label
_atom_site_fract_x
_atom_site_fract_y
_atom_site_fract_z
Nd1 0.0913 0.1826 0.2738
Ho1 0.0000 0.2617 0.5000
Ho2 0.0488 0.5244 0.6170
Mg1 0.0000 0.0000 0.5000
```

No. 2
VASP calculation (PBE-GGA) on an optimized crystal structure of AgPb3.

Output
**DOS(E_F)**: 1.8 states/eV/f.u.
**VASP energy**: -3.42 eV/atom
**Spin magnetization**: 0.0000 μB per atom

CIF file:
```
data_AgPb3
_chemical_formula_sum 'Ag4 Pb12'
_cell_length_a 8.832
_cell_length_b 11.173
_cell_length_c 4.677
_cell_angle_alpha 90.00
_cell_angle_beta 90.00
_cell_angle_gamma 90.00
_symmetry_space_group_name_H-M 'C m c m'
_symmetry_Int_Tables_number 63
_symmetry_space_group_name_Hall '-C 2c 2'
loop_
_atom_site_label
_atom_site_fract_x
_atom_site_fract_y
_atom_site_fract_z
Ag1 0.000 0.196 0.250
Pb1 0.000 0.385 0.750
Pb2 0.207 0.121 0.750
```

No. 3
VASP calculation (PBE-GGA) on an optimized crystal structure of Tm4Se3.

Output
**Uncorrected formation energy**: -1.402 eV per atom
**DOS(E_F)**: 3.2 states/eV/f.u.
**Spin magnetization**: 0.0000 μB per atom

CIF file:
```
data_Tm4Se3
_chemical_formula_sum 'Tm12 Se9'
_cell_length_a 3.8855
_cell_length_b 3.8855
_cell_length_c 39.4974
_cell_angle_alpha 90.00
_cell_angle_beta 90.00
_cell_angle_gamma 120.00
_symmetry_space_group_name_H-M 'R -3 m'
_symmetry_Int_Tables_number 166
_symmetry_space_group_name_Hall '-R 3 2"'
loop_
_atom_site_label
_atom_site_fract_x
_atom_site_fract_y
_atom_site_fract_z
Tm1 0.0000 0.0000 0.1212
Tm2 0.0000 0.0000 0.3679
Se1 0.0000 0.0000 0.2539
Se2 0.0000 0.0000 0.5000
```